1.
# PBE PmPrSbBr, relaxed
data_PmPrSbBr
_symmetry_space_group_name_H-M 'F -4 3 m'
_symmetry_Int_Tables_number 216
_symmetry_space_group_name_Hall 'F -4 2 3'
_cell_length_a 7.656
_cell_length_b 7.656
_cell_length_c 7.656
_cell_angle_alpha 90.00
_cell_angle_beta 90.00
_cell_angle_gamma 90.00
loop_
_atom_site_label
_atom_site_fract_x
_atom_site_fract_y
_atom_site_fract_z
Pm1 0.000 0.000 0.000
Pr1 0.000 0.000 0.500
Sb1 0.250 0.250 0.250
Br1 0.250 0.250 0.750
# Size of the total moment (Bohr magnetons per cell): 0.0
# Volume (Å³/cell): 448.75
# DOS(E_F) (states/eV per atom): 0.797
# Total energy (eV/cell): -79.191

***

2.
# PBE PmPrSnBr, relaxed
data_PmPrSnBr
_symmetry_space_group_name_H-M 'F -4 3 m'
_symmetry_Int_Tables_number 216
_symmetry_space_group_name_Hall 'F -4 2 3'
_cell_length_a 7.714
_cell_length_b 7.714
_cell_length_c 7.714
_cell_angle_alpha 90.00
_cell_angle_beta 90.00
_cell_angle_gamma 90.00
loop_
_atom_site_label
_atom_site_fract_x
_atom_site_fract_y
_atom_site_fract_z
Pm1 0.000 0.000 0.000
Pr1 0.000 0.000 0.500
Sn1 0.250 0.250 0.750
Br1 0.250 0.250 0.250
# Size of the total moment (Bohr magnetons per cell): 0.0
# Volume (Å³/cell): 458.96
# DOS(E_F) (states/eV per atom): 0.919
# Total energy (eV/cell): -75.019

***

3.
# PBE PmPrTe2Br, relaxed
data_PmPrTe2Br
_symmetry_space_group_name_H-M 'P 4/n m m'
_symmetry_Int_Tables_number 129
_cell_length_a 4.502
_cell_length_b 4.502
_cell_length_c 15.279
_cell_angle_alpha 90.00
_cell_angle_beta 90.00
_cell_angle_gamma 90.00
loop_
_symmetry_equiv_pos_as_xyz
'x,y,z'
'-x,-y,-z'
'-y+1/2,x,z'
'y+1/2,-x,-z'
'-x+1/2,-y+1/2,z'
'x+1/2,y+1/2,-z'
'y,-x+1/2,z'
'-y,x+1/2,-z'
'x+1/2,-y,-z'
'-x+1/2,y,z'
'-y,-x,-z'
'y,x,z'
'-x,y+1/2,-z'
'x,-y+1/2,z'
'y+1/2,x+1/2,-z'
'-y+1/2,-x+1/2,z'
loop_
_atom_site_label
_atom_site_fract_x
_atom_site_fract_y
_atom_site_fract_z
Pm1 0.250 0.250 0.086
Pr1 0.250 0.250 0.642
Te1 0.250 0.250 0.295
Te2 0.250 0.250 0.877
Br1 0.250 0.750 0.500
# Size of the total moment (Bohr magnetons per cell): 0.0
# Volume (Å³/cell): 309.67
# DOS(E_F) (states/eV per atom): 0.300
# Total energy (eV/cell): -49.941